# 1
A plane-wave DFT calculation with PBEsol was carried out for a relaxed CaCdTc crystal.

Properties
The calculation puts the formation energy at 2.80 eV/f.u. The space group is No. 216. The crystal system is cubic.

Cell lengths 4.6937, 4.6937, 4.6937 Å; angles 60.00, 60.00, 60.00 degrees
With the nearest neighbours (Å) after each atom.
Fractional coordinates of all 3 atoms:
Cd 0.5000 0.5000 0.5000  4 Tc 2.87
Ca 0.0000 0.0000 0.0000  4 Tc 2.87
Tc 0.7500 0.7500 0.7500  4 Cd 2.87, 4 Ca 2.87

# 2
A plane-wave DFT calculation with PBEsol was carried out for a relaxed CaCd2Tc crystal.

Properties
The calculation puts the formation energy at 1.47 eV/f.u. The space group is No. 44. The crystal system is orthorhombic.

Cell lengths 3.2660, 4.9589, 5.7543 Å; angles 115.52, 106.49, 90.00 degrees
With the nearest neighbours (Å) after each atom.
Fractional coordinates of all 4 atoms:
Tc 0.4883 0.4883 0.9765  6 Cd 2.76-2.98, 2 Ca 2.95
Cd 0.0120 0.0120 0.0240  4 Cd 2.96-3.27, 4 Tc 2.98, 2 Ca 3.16
Cd 0.7622 0.2622 0.5245  2 Tc 2.76, 2 Cd 2.96, 4 Ca 2.98
Ca 0.2375 0.7375 0.4750  2 Tc 2.95, 6 Cd 2.98-3.16, 2 Ca 3.27

# 3
A plane-wave DFT calculation with PBEsol was carried out for a relaxed CaCdTe2 crystal.

Properties
The value obtained for the total energy is -11.90 eV for the cell shown. The space group is No. 216. The crystal system is cubic.

Cell lengths 5.3802, 5.3802, 5.3802 Å; angles 60.00, 60.00, 60.00 degrees
With the nearest neighbours (Å) after each atom.
Fractional coordinates of all 4 atoms:
Ca 0.5000 0.5000 0.5000  4 Cd 3.29, 4 Te 3.29
Te 0.7500 0.7500 0.7500  4 Ca 3.29, 4 Te 3.29
Te 0.0000 0.0000 0.0000  4 Cd 3.29, 4 Te 3.29
Cd 0.2500 0.2500 0.2500  4 Ca 3.29, 4 Te 3.29

# 4
A plane-wave DFT calculation with PBEsol was carried out for a relaxed CaCdTe2 crystal.

Properties
The value obtained for the total energy is -14.02 eV for the cell shown. The space group is No. 99. The crystal system is tetragonal.

Cell lengths 4.3422, 4.3422, 6.2168 Å; angles 90.00, 90.00, 90.00 degrees
With the nearest neighbours (Å) after each atom.
Fractional coordinates of all 4 atoms:
Te 0.0000 0.0000 0.8861  4 Cd 3.08, 2 Ca 3.10-3.12
Te 0.5000 0.5000 0.3710  2 Cd 3.01-3.21, 4 Ca 3.07
Ca 0.0000 0.0000 0.3877  6 Te 3.07-3.12
Cd 0.5000 0.5000 0.8552  6 Te 3.01-3.21

| no. | V (Å³/cell) | mass density (g/cm3) |
| --- | --- | --- |
| 1 | 73 | 5.69 |
| 2 | 80 | 7.55 |
| 3 | 110 | 6.15 |
| 4 | 117 | 5.78 |